VASP calculation (GGA-PBE) on a relaxed LaNdPa crystal.

Lattice parameters (Å, degrees): 3.490 3.490 8.863 90.00 90.00 120.00
Positions (direct):
La  0.333  0.667  0.689
Nd  0.667  0.333  0.312
Pa  0.000  0.000  0.999

Computed properties:
- SG: P3m1, No. 156
- Density: 9.134 g/cm3
- Energy above the lowest structure with this stoichiometry: 8 meV per atom
- DOS(E_F): 4.88 states/eV/f.u.
- Size of the total moment: 0.00 μB/atom
- E: -0.2287 Ha/atom
- Formation enthalpy at 0 K: 0.173 eV per atom